# 1
Entry from the Alexandria database: an optimized crystal structure of ZrTa2Al2 (PBEsol).

Unit cell a=3.682 b=3.682 c=7.448 alpha=104.31 beta=104.31 gamma=90.00
Positions (direct):
Zr1 0.000 0.000 0.000
Ta1 0.597 0.597 0.195
Ta2 0.403 0.403 0.805
Al1 0.250 0.750 0.500
Al2 0.750 0.250 0.500

symmetry: No. 139
M_tot: 0.0 μB per cell
formation enthalpy at 0 K: 31.07 kJ per mole of atoms

# 2
Entry from the Alexandria database: an optimized crystal structure of TaAsRh3 (PBEsol).

Unit cell a=4.432 b=4.432 c=4.432 alpha=90.00 beta=90.00 gamma=90.00
Positions (direct):
Ta1 0.500 0.500 0.500
Rh1 0.000 0.500 0.000
Rh2 0.500 0.000 0.000
Rh3 0.000 0.000 0.500
As1 0.000 0.000 0.000

symmetry: No. 221
M_tot: 2.1 μB per cell
formation enthalpy at 0 K: 67.88 kJ per mole of atoms

no.,N(E_F) (states/eV per atom),VASP energy (eV/f.u.)
1,1.049,-40.77
2,1.686,-38.56